Hf2BeVPt, optimized geometry, DFT PBE-GGA; magnetization = 0.448 μB/atom; ΔE_f = 72 kJ/mol of formula units; DOS(E_F) = 4.853 states/eV per cell
1.0
4.6892 0.0000 0.0000
0.0000 4.0436 0.0000
0.0000 0.0000 4.6892
Be Hf Pt V
1 2 1 1
Cartesian
0.0000 0.0000 0.0000
0.0000 0.0000 2.3446
2.3446 0.0000 0.0000
0.0000 2.0218 0.0000
2.3446 2.0218 2.3446